# 1
Compound: ScPSCl2
Source: the Alexandria database
Functional: PBE
Structure: relaxed

Cell lengths 4.875, 4.875, 5.224 Å; angles 90.00, 90.00, 90.00 degrees
Element x y z (fractional)
Sc: 0.000 0.000 0.000
P: 0.500 0.500 0.500
S: 0.000 0.000 0.500
Cl: 0.000 0.500 0.000
Cl: 0.500 0.000 0.000

Total energy in eV/atom: -4.4678
Symmetry: P4/mmm
Distance to the lowest polymorph of the same formula in meV per atom: 0
Formation energy from raw total energies in kJ per mole of atoms: -53.6

=====

# 2
Compound: YTmRh
Source: the Alexandria database
Functional: PBE
Structure: relaxed

Cell lengths 4.786, 4.786, 4.786 Å; angles 60.00, 60.00, 60.00 degrees
Element x y z (fractional)
Y: 0.000 0.000 0.000
Tm: 0.500 0.500 0.500
Rh: 0.250 0.250 0.250

Formation energy from the elements in eV per formula unit: -1.80
Total energy in eV/atom: -6.6963
Symmetry: F-43m
Distance to the lowest polymorph of the same formula in meV per atom: 4

=====

Number 1: DOS(E_F) 0.211 states/eV per atom, magnetic moment 2.0 μB/f.u.. Number 2: DOS(E_F) 0.983 states/eV per atom, magnetic moment 0.0 μB/f.u..